First-principles (PBE) data for a relaxed structure of HfAg3Rh, as listed in Alexandria via LeMat-Bulk.

Summary:
- ΔH_f (0 K) (eV per atom) = 1.6787
- total energy (Ry per atom) = -0.2567
- V (Å³/f.u.) = 128.9
- offset from the most stable computed form (eV per atom) = 0.494

Unit cell a=5.0514 b=5.0514 c=5.0514 alpha=90.00 beta=90.00 gamma=90.00
Last column: nearest neighbours and their distance in Å.
Space group Pm-3m (No. 221)
Symmetry-distinct sites (fractional):
Hf 0.0000 0.0000 0.0000 [1 per cell]  6 Ag 2.53
Ag 0.0000 0.0000 0.5000 [3 per cell]  2 Hf 2.53
Rh 0.5000 0.5000 0.5000 [1 per cell]  12 Ag 3.57


First-principles (PBE) data for a relaxed structure of HfAgRh3, as listed in Alexandria via LeMat-Bulk.

Summary:
- ΔH_f (0 K) (eV per atom) = 0.8115
- total energy (Ry per atom) = -0.4528
- V (Å³/f.u.) = 107.5
- offset from the most stable computed form (eV per atom) = 0.000

Unit cell a=4.7542 b=4.7542 c=4.7542 alpha=90.00 beta=90.00 gamma=90.00
Last column: nearest neighbours and their distance in Å.
Space group Pm-3m (No. 221)
Symmetry-distinct sites (fractional):
Hf 0.0000 0.0000 0.0000 [1 per cell]  6 Rh 2.38
Ag 0.5000 0.5000 0.5000 [1 per cell]  12 Rh 3.36
Rh 0.0000 0.0000 0.5000 [3 per cell]  2 Hf 2.38


- What is the offset from the most stable computed form in the second record?
  0.000 eV per atom